A plane-wave DFT calculation with PBE was carried out for a relaxed structure of SrTe2C.

Values from the calculation:
As for the magnetization: 2.0 μB/cell. The calculated volume is 42.5 Å³/atom. As for the total energy: -3.86 eV per atom.

The structure in POSCAR format:
```
SrTe2C
1.0
2.6471 1.5283 7.0074
-2.6471 1.5283 7.0074
0.0000 -3.0566 7.0074
Sr Te C
1 2 1
Direct
0.0000 0.0000 0.0000
0.4039 0.4039 0.4039
0.5961 0.5961 0.5961
0.5000 0.5000 0.5000
```